# 1
The following is a PBE calculation of a geometry-optimized Ac4Ga2Si structure, from the Alexandria database.

Output
energy relative to the elements, uncorrected = -17.61 kJ per mole of atoms

a b c (Å): 5.957 5.957 8.814
angles (deg): 109.75 109.75 90.00
Sites, in units of the cell vectors:
Si: 0.000 0.000 0.000
Ac: 0.500 0.000 0.000
Ac: 0.804 0.804 0.608
Ac: 0.000 0.500 0.000
Ac: 0.196 0.196 0.392
Ga: 0.397 0.397 0.794
Ga: 0.603 0.603 0.206


# 2
The following is a PBE calculation of a geometry-optimized Tl2AgPt2 structure, from the Alexandria database.

Output
energy relative to the lowest polymorph listed for this composition = 0.652 eV per formula unit
E_form = 0.147 eV/atom

a b c (Å): 3.752 3.752 8.564
angles (deg): 77.35 77.35 90.00
Sites, in units of the cell vectors:
Pt: 0.250 0.750 0.500
Pt: 0.750 0.250 0.500
Tl: 0.610 0.610 0.779
Tl: 0.390 0.390 0.221
Ag: 0.000 0.000 0.000


# 3
The following is a PBE calculation of a geometry-optimized YCSe2Br structure, from the Alexandria database.

Output
energy relative to the lowest polymorph listed for this composition = 0.000 eV per formula unit
energy relative to the elements, uncorrected = 16.69 kJ per mole of atoms

a b c (Å): 4.566 4.566 4.656
angles (deg): 90.00 90.00 90.00
Each line ends with the local moment (μB).
Sites, in units of the cell vectors:
C: 0.000 0.000 0.000  0.13
Se: 0.000 0.500 0.000  -0.01
Se: 0.500 0.000 0.000  -0.01
Y: 0.500 0.500 0.500  0.01
Br: 0.000 0.000 0.500  0.00


# 4
The following is a PBE calculation of a geometry-optimized Ir7Rh2 structure, from the Alexandria database.

Output
E_form = -0.017 eV/atom

a b c (Å): 4.733 4.733 6.701
angles (deg): 90.00 90.00 120.00
Sites, in units of the cell vectors:
Ir: 0.000 0.332 0.666
Ir: 0.668 0.000 0.334
Ir: 0.668 0.668 0.666
Ir: 0.332 0.000 0.666
Ir: 0.000 0.000 0.000
Ir: 0.000 0.668 0.334
Ir: 0.332 0.332 0.334
Rh: 0.667 0.333 0.000
Rh: 0.333 0.667 0.000


# 5
The following is a PBE calculation of a geometry-optimized ScTaCo2 structure, from the Alexandria database.

Output
E_form = 0.278 eV/atom

a b c (Å): 8.711 8.711 8.711
angles (deg): 19.20 19.20 19.20
Each line ends with the local moment (μB).
Sites, in units of the cell vectors:
Co: 0.258 0.258 0.258  1.52
Co: 0.993 0.993 0.993  1.43
Sc: 0.508 0.508 0.508  -0.10
Ta: 0.741 0.741 0.741  -0.14


# 6
The following is a PBE calculation of a geometry-optimized CrOsAu2 structure, from the Alexandria database.

Output
energy relative to the lowest polymorph listed for this composition = 1.432 eV per formula unit
E_form = 0.568 eV/atom

a b c (Å): 9.297 9.297 9.297
angles (deg): 17.65 17.65 17.65
Each line ends with the local moment (μB).
Sites, in units of the cell vectors:
Os: 0.750 0.750 0.750  0.05
Au: 0.502 0.502 0.502  0.05
Au: 0.998 0.998 0.998  0.05
Cr: 0.250 0.250 0.250  3.14


So what do the calculations give for Fermi-level density of states? Going down the list: 3.034; 3.128; 1.476; 7.529; 4.416; 4.352 states/eV/f.u..